DFT (GGA-PBE) results for FeHg after structural relaxation.

```
data_FeHg
_cell_length_a 5.282
_cell_length_b 5.282
_cell_length_c 4.746
_cell_angle_alpha 108.93
_cell_angle_beta 108.93
_cell_angle_gamma 33.09
_space_group_name_H-M_alt 'P 1'
_space_group_IT_number 1
loop_
_space_group_symop_operation_xyz
'x,y,z'
loop_
_atom_site_label
_atom_site_type_symbol
_atom_site_fract_x
_atom_site_fract_y
_atom_site_fract_z
Fe1 Fe 0.157 0.157 0.382
Fe2 Fe 0.843 0.843 0.618
Hg1 Hg 0.393 0.393 0.163
Hg2 Hg 0.607 0.607 0.837
```

## Properties
Its crystal system is monoclinic. For the total energy, the calculation gives -7.95 eV per formula unit. As for the magnetic moment: 2.68 μB per formula unit.

=====

DFT (GGA-PBE) results for LaTmMgGe after structural relaxation.

```
data_LaTmMgGe
_cell_length_a 5.238
_cell_length_b 5.238
_cell_length_c 5.238
_cell_angle_alpha 60.00
_cell_angle_beta 60.00
_cell_angle_gamma 60.00
_space_group_name_H-M_alt 'P 1'
_space_group_IT_number 1
loop_
_space_group_symop_operation_xyz
'x,y,z'
loop_
_atom_site_label
_atom_site_type_symbol
_atom_site_fract_x
_atom_site_fract_y
_atom_site_fract_z
La1 La 0.000 0.000 0.000
Tm1 Tm 0.500 0.500 0.500
Mg1 Mg 0.750 0.750 0.750
Ge1 Ge 0.250 0.250 0.250
```

## Properties
Its crystal system is cubic. For the total energy, the calculation gives -17.05 eV per formula unit. As for the magnetic moment: 0.00 μB per formula unit.

=====

DFT (GGA-PBE) results for PrInHg3 after structural relaxation.

```
data_PrInHg3
_cell_length_a 5.630
_cell_length_b 5.630
_cell_length_c 5.630
_cell_angle_alpha 104.84
_cell_angle_beta 104.84
_cell_angle_gamma 104.84
_space_group_name_H-M_alt 'P 1'
_space_group_IT_number 1
loop_
_space_group_symop_operation_xyz
'x,y,z'
loop_
_atom_site_label
_atom_site_type_symbol
_atom_site_fract_x
_atom_site_fract_y
_atom_site_fract_z
Pr1 Pr 0.000 0.000 0.000
In1 In 0.506 0.506 0.506
Hg1 Hg 0.492 0.492 0.998
Hg2 Hg 0.492 0.998 0.492
Hg3 Hg 0.998 0.492 0.492
```

## Properties
The energy above the most stable polymorph in this dataset is 342 meV per atom. Its crystal system is trigonal. As for the magnetic moment: 0.00 μB per formula unit.

=====

DFT (GGA-PBE) results for LiMo2Br after structural relaxation.

```
data_LiMo2Br
_cell_length_a 3.595
_cell_length_b 3.595
_cell_length_c 5.764
_cell_angle_alpha 90.00
_cell_angle_beta 90.00
_cell_angle_gamma 90.00
_space_group_name_H-M_alt 'P 1'
_space_group_IT_number 1
loop_
_space_group_symop_operation_xyz
'x,y,z'
loop_
_atom_site_label
_atom_site_type_symbol
_atom_site_fract_x
_atom_site_fract_y
_atom_site_fract_z
Li1 Li 0.000 0.000 0.000
Mo1 Mo 0.000 0.500 0.500
Mo2 Mo 0.500 0.000 0.500
Br1 Br 0.500 0.500 0.000
```

## Properties
The energy above the most stable polymorph in this dataset is 517 meV per atom. The formation energy without anion corrections is 0.59 eV/atom. Its crystal system is tetragonal. As for the magnetic moment: 0.00 μB per formula unit.

=====

no.,calculated density (g/cm3)
1,12.5
2,6.6
3,9.1
4,6.2